Entry from Alexandria: crystalline TbTmHgAu at its relaxed geometry (PBE).

Values from the calculation:
polymorph energy (0 for the lowest one): 0 meV per atom
density: 12.44 g cm⁻³

Unit cell a=3.6553 b=3.6553 c=7.2468 alpha=90.00 beta=90.00 gamma=90.00
Fractional coordinates of all 4 atoms:
Tb: 0.0000 0.0000 0.0000
Tm: 0.0000 0.0000 0.5220
Hg: 0.5000 0.5000 0.2679
Au: 0.5000 0.5000 0.7500



Entry from Alexandria: crystalline TbZrHgAu at its relaxed geometry (PBE).

Values from the calculation:
density: 11.72 g cm⁻³

Unit cell a=5.0634 b=5.0634 c=5.0634 alpha=60.00 beta=60.00 gamma=60.00
Fractional coordinates of all 4 atoms:
Tb: 0.0000 0.0000 0.0000
Zr: 0.5000 0.5000 0.5000
Hg: 0.2500 0.2500 0.2500
Au: 0.7500 0.7500 0.7500



Entry from Alexandria: crystalline TcHgAu2 at its relaxed geometry (PBE).

Values from the calculation:
density: 14.38 g cm⁻³

Unit cell a=10.4065 b=10.4065 c=10.4065 alpha=157.86 beta=157.86 gamma=31.51
Fractional coordinates of all 8 atoms:
Tc: 0.0000 0.0000 0.0000
Tc: 0.7500 0.2500 0.5000
Hg: 0.2500 0.7500 0.5000
Hg: 0.5000 0.5000 0.0000
Au: 0.1199 0.6250 0.9949
Au: 0.3750 0.3699 0.4949
Au: 0.6301 0.1250 0.0051
Au: 0.8750 0.8801 0.5051



Entry from Alexandria: crystalline TcHg2Au at its relaxed geometry (PBE).

Values from the calculation:
polymorph energy (0 for the lowest one): 119 meV per atom
density: 15.25 g cm⁻³

Unit cell a=2.8902 b=4.8123 c=5.4544 alpha=90.00 beta=92.31 gamma=90.00
Fractional coordinates of all 4 atoms:
Tc: 0.0000 0.0000 0.0000
Hg: 0.2791 0.5000 0.7581
Hg: 0.7209 0.5000 0.2419
Au: 0.5000 0.0000 0.5000



Entry from Alexandria: crystalline TcHgAu2 at its relaxed geometry (PBE).

Values from the calculation:
density: 16.11 g cm⁻³

Unit cell a=5.2899 b=5.2899 c=2.7627 alpha=90.00 beta=90.00 gamma=112.58
Fractional coordinates of all 4 atoms:
Tc: 0.0000 0.0000 0.0000
Hg: 0.5000 0.5000 0.0000
Au: 0.0000 0.5000 0.5000
Au: 0.5000 0.0000 0.5000



Entry from Alexandria: crystalline TcHgAu3 at its relaxed geometry (PBE).

Values from the calculation:
polymorph energy (0 for the lowest one): 331 meV per atom
density: 10.77 g cm⁻³

Unit cell a=5.1564 b=5.1564 c=5.1564 alpha=90.00 beta=90.00 gamma=90.00
Fractional coordinates of all 5 atoms:
Tc: 0.0000 0.0000 0.0000
Hg: 0.5000 0.5000 0.5000
Au: 0.0000 0.5000 0.5000
Au: 0.5000 0.0000 0.5000
Au: 0.5000 0.5000 0.0000



Entry from Alexandria: crystalline Tc2HgAu at its relaxed geometry (PBE).

Values from the calculation:
density: 14.08 g cm⁻³

Unit cell a=2.7975 b=2.7975 c=10.0207 alpha=90.00 beta=90.00 gamma=116.82
Fractional coordinates of all 4 atoms:
Tc: 0.0000 0.0000 0.0000
Tc: 0.5000 0.5000 0.2066
Hg: 0.0000 0.0000 0.4716
Au: 0.5000 0.5000 0.7490



Entry from Alexandria: crystalline TcHg2Au at its relaxed geometry (PBE).

Values from the calculation:
polymorph energy (0 for the lowest one): 42 meV per atom
density: 15.43 g cm⁻³

Unit cell a=4.2763 b=4.2763 c=4.0964 alpha=90.00 beta=90.00 gamma=90.00
Fractional coordinates of all 4 atoms:
Tc: 0.0000 0.0000 0.0000
Hg: 0.0000 0.5000 0.5000
Hg: 0.5000 0.0000 0.5000
Au: 0.5000 0.5000 0.0000



Entry from Alexandria: crystalline Tc2HgAu at its relaxed geometry (PBE).

Values from the calculation:
density: 14.69 g cm⁻³

Unit cell a=5.1774 b=5.1774 c=5.1774 alpha=135.56 beta=135.56 gamma=64.67
Fractional coordinates of all 4 atoms:
Tc: 0.2500 0.7500 0.5000
Tc: 0.7500 0.2500 0.5000
Hg: 0.0000 0.0000 0.0000
Au: 0.5000 0.5000 0.0000



Entry from Alexandria: crystalline Tc2HgAu at its relaxed geometry (PBE).

Values from the calculation:
density: 14.19 g cm⁻³

Unit cell a=2.8600 b=4.3279 c=5.6123 alpha=90.00 beta=90.19 gamma=90.00
Fractional coordinates of all 4 atoms:
Tc: 0.0008 0.0000 0.2912
Tc: 0.9992 0.0000 0.7088
Hg: 0.5000 0.5000 0.0000
Au: 0.5000 0.5000 0.5000



Entry from Alexandria: crystalline TcHgAu2 at its relaxed geometry (PBE).

Values from the calculation:
density: 15.97 g cm⁻³

Unit cell a=2.9005 b=2.9005 c=8.5587 alpha=90.00 beta=90.00 gamma=90.00
Fractional coordinates of all 4 atoms:
Tc: 0.0000 0.0000 0.0000
Hg: 0.0000 0.0000 0.5000
Au: 0.5000 0.5000 0.2287
Au: 0.5000 0.5000 0.7713



Entry from Alexandria: crystalline TcHgAu2 at its relaxed geometry (PBE).

Values from the calculation:
density: 15.88 g cm⁻³

Unit cell a=2.8966 b=4.0211 c=6.2153 alpha=90.00 beta=90.00 gamma=90.00
Fractional coordinates of all 4 atoms:
Tc: 0.0000 0.0000 0.0000
Hg: 0.5000 0.5000 0.7458
Au: 0.0000 0.0000 0.4778
Au: 0.5000 0.5000 0.2231



| no. | raw total energy (eV per atom) |
| --- | --- |
| 1 | -3.85 |
| 2 | -4.60 |
| 3 | -3.63 |
| 4 | -3.01 |
| 5 | -3.91 |
| 6 | -2.71 |
| 7 | -5.68 |
| 8 | -3.09 |
| 9 | -5.46 |
| 10 | -5.50 |
| 11 | -3.97 |
| 12 | -3.88 |